## a
CdBiF5 | GGA-PBE | optimized geometry

Unit cell a=7.296 b=7.086 c=7.833 alpha=90.00 beta=94.40 gamma=90.00
Space group C2/c (No. 15)
Asymmetric unit:
Cd 0.000 0.000 0.000 x4
Bi 0.000 0.482 0.250 x4
F 0.000 0.157 0.750 x4
F 0.144 0.227 0.161 x8
F 0.179 0.430 0.503 x8

Results
M_tot, μB per formula unit: 0.00

## b
CdBiF5 | GGA-PBE | optimized geometry

Unit cell a=4.152 b=7.272 c=8.968 alpha=90.00 beta=90.00 gamma=90.00
Space group Immm (No. 71)
Asymmetric unit:
Cd 0.000 0.000 0.000 x2
Bi 0.000 0.000 0.500 x2
F 0.000 0.000 0.256 x4
F 0.000 0.324 0.000 x4
F 0.000 0.500 0.500 x2

Results
M_tot, μB per formula unit: 0.00

a is the most stable structure; the next one sits 0.069 eV/atom above it.

## a
CdBiF3 | GGA-PBE | optimized geometry

Unit cell a=4.472 b=4.472 c=4.472 alpha=90.00 beta=90.00 gamma=90.00
Space group Pm-3m (No. 221)
Asymmetric unit:
Cd 0.000 0.000 0.000 x1
Bi 0.500 0.500 0.500 x1
F 0.000 0.000 0.500 x3

Results
M_tot, μB per formula unit: 0.00

## b
CdBiF3 | GGA-PBE | optimized geometry

Unit cell a=4.659 b=4.659 c=4.659 alpha=90.00 beta=90.00 gamma=90.00
Space group Pm-3m (No. 221)
Asymmetric unit:
Cd 0.000 0.000 0.000 x1
Bi 0.500 0.500 0.500 x1
F 0.000 0.500 0.500 x3

Results
M_tot, μB per formula unit: 0.00

b is the most stable structure; the next one sits 0.276 eV/atom above it.

## a
CdBiF2 | GGA-PBE | optimized geometry

Unit cell a=3.2312 b=3.2312 c=26.1414 alpha=90.00 beta=90.00 gamma=120.00
Space group R-3m (No. 166, hexagonal axes)
Asymmetric unit:
Cd 0.0000 0.0000 0.0000 x3
Bi 0.0000 0.0000 0.5000 x3
F 0.0000 0.0000 0.0975 x6

Results
M_tot, μB per formula unit: 0.00

## b
CdBiF2 | GGA-PBE | optimized geometry

Unit cell a=6.565 b=6.565 c=6.565 alpha=90.00 beta=90.00 gamma=90.00
Space group Fm-3m (No. 225)
Asymmetric unit:
Cd 0.000 0.000 0.000 x4
Bi 0.000 0.000 0.500 x4
F 0.250 0.250 0.250 x8

Results
M_tot, μB per formula unit: 0.00

## c
CdBiF2 | GGA-PBE | optimized geometry

Unit cell a=7.304 b=7.304 c=6.089 alpha=90.00 beta=90.00 gamma=90.00
Space group I-42d (No. 122)
Asymmetric unit:
Cd 0.000 0.000 0.000 x4
Bi 0.000 0.000 0.500 x4
F 0.190 0.250 0.625 x8

Results
M_tot, μB per formula unit: 0.00

a is the most stable structure; the next one sits 0.031 eV/atom above it.

## a
CdBi2F8 | GGA-PBE | optimized geometry

Unit cell a=14.803 b=3.810 c=5.634 alpha=90.00 beta=109.59 gamma=90.00
Space group C2/m (No. 12)
Asymmetric unit:
Cd 0.000 0.000 0.000 x2
Bi 0.173 0.500 0.681 x4
F 0.037 0.500 0.811 x4
F 0.095 0.000 0.439 x4
F 0.175 0.000 0.964 x4
F 0.217 0.500 0.324 x4

Results
M_tot, μB per formula unit: 0.00

## b
CdBi2F8 | GGA-PBE | optimized geometry

Unit cell a=7.1893 b=7.1893 c=4.6321 alpha=90.00 beta=90.00 gamma=120.00
Space group P-3m1 (No. 164)
Asymmetric unit:
Cd 0.0000 0.0000 0.0000 x1
Bi 0.3333 0.6667 0.2670 x2
F 0.1581 0.3162 0.2437 x6
F 0.3333 0.6667 0.7833 x2

Results
M_tot, μB per formula unit: 0.00

a is the most stable structure; the next one sits 0.103 eV/atom above it.

## a
CdBi3F | GGA-PBE | optimized geometry

Unit cell a=5.147 b=5.147 c=5.147 alpha=90.00 beta=90.00 gamma=90.00
Space group Pm-3m (No. 221)
Asymmetric unit:
Cd 0.000 0.000 0.000 x1
Bi 0.000 0.500 0.500 x3
F 0.500 0.500 0.500 x1

Results
M_tot, μB per formula unit: 0.00

## b
CdBi3F | GGA-PBE | optimized geometry

Unit cell a=5.657 b=5.657 c=5.657 alpha=90.00 beta=90.00 gamma=90.00
Space group Pm-3m (No. 221)
Asymmetric unit:
Cd 0.000 0.000 0.000 x1
Bi 0.000 0.000 0.500 x3
F 0.500 0.500 0.500 x1

Results
M_tot, μB per formula unit: 0.00

a is the most stable structure; the next one sits 0.557 eV/atom above it.

## a
CdBiNF2 | GGA-PBE | optimized geometry

Unit cell a=4.512 b=4.512 c=4.680 alpha=90.00 beta=90.00 gamma=90.00
Space group P4/mmm (No. 123)
Asymmetric unit:
Cd 0.000 0.000 0.000 x1
Bi 0.500 0.500 0.500 x1
N 0.500 0.500 0.000 x1
F 0.000 0.500 0.500 x2

Results
M_tot, μB per formula unit: 0.00

## b
CdBiNF2 | GGA-PBE | optimized geometry

Unit cell a=4.235 b=4.235 c=4.633 alpha=90.00 beta=90.00 gamma=90.00
Space group P4/mmm (No. 123)
Asymmetric unit:
Cd 0.000 0.000 0.000 x1
Bi 0.500 0.500 0.500 x1
N 0.000 0.000 0.500 x1
F 0.000 0.500 0.000 x2

Results
M_tot, μB per formula unit: 0.00

a is the most stable structure; the next one sits 0.138 eV/atom above it.

## a
CdFe2Bi | GGA-PBE | optimized geometry

Unit cell a=6.366 b=6.366 c=6.366 alpha=90.00 beta=90.00 gamma=90.00
Space group Fm-3m (No. 225)
Asymmetric unit:
Cd 0.000 0.000 0.000 x4
Fe 0.250 0.250 0.250 x8
Bi 0.000 0.000 0.500 x4

Results
M_tot, μB per formula unit: 0.00

## b
CdFe2Bi | GGA-PBE | optimized geometry

Unit cell a=4.139 b=4.139 c=18.503 alpha=90.00 beta=90.00 gamma=90.00
Space group I-42d (No. 122)
Asymmetric unit:
Cd 0.000 0.000 0.000 x4
Fe 0.126 0.250 0.125 x8
Bi 0.000 0.000 0.500 x4

Results
M_tot, μB per formula unit: 0.00

a is the most stable structure; the next one sits 0.304 eV/atom above it.

## a
CdGa2Bi2 | GGA-PBE | optimized geometry

Unit cell a=7.344 b=7.344 c=4.782 alpha=90.00 beta=90.00 gamma=90.00
Space group P4/mbm (No. 127)
Asymmetric unit:
Cd 0.000 0.000 0.000 x2
Ga 0.123 0.377 0.000 x4
Bi 0.206 0.706 0.500 x4

Results
M_tot, μB per formula unit: 0.00

## b
CdGa2Bi2 | GGA-PBE | optimized geometry

Unit cell a=5.167 b=5.167 c=10.636 alpha=90.00 beta=90.00 gamma=90.00
Space group I4/mmm (No. 139)
Asymmetric unit:
Cd 0.000 0.000 0.000 x2
Ga 0.000 0.000 0.384 x4
Bi 0.000 0.500 0.250 x4

Results
M_tot, μB per formula unit: 0.00

a is the most stable structure; the next one sits 0.044 eV/atom above it.